# 1
The following is a DFT calculation (PBEsol) of a relaxed Ba2SrAu2 crystal.

Cell: 4.6578 8.5387 8.5387 Å, 90.00 90.00 90.00°
Closest atoms and distances in Å follow each position.
Element x y z (fractional)
Au  0.0000  0.1307  0.3693  1 Au 3.16, 2 Sr 3.35, 6 Ba 3.41-3.43
Au  0.0000  0.8693  0.6307  1 Au 3.16, 2 Sr 3.35, 6 Ba 3.41-3.43
Au  0.0000  0.3693  0.8693  1 Au 3.16, 2 Sr 3.35, 6 Ba 3.41-3.43
Au  0.0000  0.6307  0.1307  1 Au 3.16, 2 Sr 3.35, 6 Ba 3.41-3.43
Ba  0.5000  0.3373  0.1627  6 Au 3.41-3.43
Ba  0.5000  0.1627  0.6627  6 Au 3.41-3.43
Ba  0.5000  0.8373  0.3373  6 Au 3.41-3.43
Ba  0.5000  0.6627  0.8373  6 Au 3.41-3.43
Sr  0.0000  0.0000  0.0000  4 Au 3.35
Sr  0.0000  0.5000  0.5000  4 Au 3.35

Computed properties:
* ΔE_f: -565 meV per atom
* magnetization: 0.00 μB/cell
* space-group type: No. 127

=====

# 2
The following is a DFT calculation (PBEsol) of a relaxed SiPb2Se crystal.

Cell: 3.4952 3.4952 9.6051 Å, 79.52 79.52 60.00°
Closest atoms and distances in Å follow each position.
Element x y z (fractional)
Pb  0.9877  0.9877  0.0370  3 Si 3.10
Pb  0.7546  0.7546  0.7362  3 Se 3.44, 9 Pb 3.47-3.50
Si  0.2377  0.2377  0.2869  3 Se 2.48
Se  0.5200  0.5200  0.4399  3 Si 2.48

Computed properties:
* magnetization: 0.00 μB/cell
* space-group type: No. 160
* ΔE_f (raw): 0.024 eV per atom

=====

# 3
The following is a DFT calculation (PBEsol) of a relaxed KZn2Ru2 crystal.

Cell: 3.7255 3.7255 6.8609 Å, 105.75 105.75 90.00°
Closest atoms and distances in Å follow each position.
Element x y z (fractional)
K  0.0000  0.0000  0.0000  8 Zn 2.96
Ru  0.7500  0.2500  0.5000  4 Zn 2.60, 4 Ru 2.63
Ru  0.2500  0.7500  0.5000  4 Zn 2.60, 4 Ru 2.63
Zn  0.3932  0.3932  0.7865  4 Ru 2.60, 1 Zn 2.71
Zn  0.6068  0.6068  0.2135  4 Ru 2.60, 1 Zn 2.71

Computed properties:
* ΔE_f: 584 meV per atom
* magnetization: 0.03 μB/cell
* space-group type: No. 139

=====

# 4
The following is a DFT calculation (PBEsol) of a relaxed LiY2In crystal.

Cell: 3.4142 4.6612 6.4648 Å, 90.00 90.00 90.00°
Closest atoms and distances in Å follow each position.
Element x y z (fractional)
Y  0.5000  0.5000  0.2819  1 Li 2.97, 4 In 3.20
Y  0.0000  0.0000  0.9832  2 In 3.17-3.30, 4 Li 3.28, 6 Y 3.41-3.47
Li  0.5000  0.5000  0.7419  5 Y 2.97-3.28, 4 In 3.31
In  0.0000  0.0000  0.4931  6 Y 3.17-3.30, 4 Li 3.31, 2 In 3.41

Computed properties:
* ΔE_f: -153 meV per atom
* magnetization: 0.00 μB/cell
* space-group type: No. 25

=====

# 5
The following is a DFT calculation (PBEsol) of a relaxed RbTa3Te2O12 crystal.

Cell: 3.9254 15.0582 17.5390 Å, 90.00 90.00 90.00°
Closest atoms and distances in Å follow each position.
Element x y z (fractional)
O  0.7217  0.4335  0.5236  1 Te 1.90, 1 Ta 2.06
O  0.7074  0.3952  0.6726  1 Te 1.91, 1 Ta 2.03
O  0.2920  0.7500  0.5000  2 Ta 1.94
O  0.2900  0.7927  0.3319  2 Ta 1.94-1.95
O  0.7068  0.4685  0.1283  1 Te 1.89, 1 Ta 2.06
O  0.7798  0.8550  0.4350  2 Ta 1.88-2.05
O  0.7074  0.3952  0.8274  1 Te 1.91, 1 Ta 2.03
O  0.7100  0.2073  0.6681  2 Ta 1.94-1.95
O  0.7068  0.0315  0.8717  1 Te 1.89, 1 Ta 2.06
O  0.7858  0.6978  0.2500  2 Ta 1.88-2.05
O  0.2783  0.9335  0.9764  1 Te 1.90, 1 Ta 2.06
O  0.2926  0.6048  0.3274  1 Te 1.91, 1 Ta 2.03
O  0.2932  0.9685  0.3717  1 Te 1.89, 1 Ta 2.06
O  0.7080  0.2500  0.0000  2 Ta 1.94
O  0.2920  0.7500  0.0000  2 Ta 1.94
O  0.2202  0.3550  0.4350  2 Ta 1.88-2.05
O  0.2783  0.9335  0.5236  1 Te 1.90, 1 Ta 2.06
O  0.7217  0.0665  0.0236  1 Te 1.90, 1 Ta 2.06
O  0.2900  0.7073  0.6681  2 Ta 1.94-1.95
O  0.7080  0.2500  0.5000  2 Ta 1.94
O  0.2926  0.6048  0.1726  1 Te 1.91, 1 Ta 2.03
O  0.7100  0.2927  0.3319  2 Ta 1.94-1.95
O  0.2142  0.3022  0.7500  2 Ta 1.88-2.05
O  0.2926  0.8952  0.8274  1 Te 1.91, 1 Ta 2.03
O  0.2932  0.9685  0.1283  1 Te 1.89, 1 Ta 2.06
O  0.2900  0.7073  0.8319  2 Ta 1.94-1.95
O  0.2783  0.5665  0.0236  1 Te 1.90, 1 Ta 2.06
O  0.7074  0.1048  0.1726  1 Te 1.91, 1 Ta 2.03
O  0.7068  0.4685  0.3717  1 Te 1.89, 1 Ta 2.06
O  0.7100  0.2927  0.1681  2 Ta 1.94-1.95
O  0.7798  0.6450  0.5650  2 Ta 1.88-2.05
O  0.2202  0.1450  0.5650  2 Ta 1.88-2.05
O  0.7217  0.0665  0.4764  1 Te 1.90, 1 Ta 2.06
O  0.2932  0.5315  0.8717  1 Te 1.89, 1 Ta 2.06
O  0.2932  0.5315  0.6283  1 Te 1.89, 1 Ta 2.06
O  0.2783  0.5665  0.4764  1 Te 1.90, 1 Ta 2.06
O  0.7798  0.6450  0.9350  2 Ta 1.88-2.05
O  0.7068  0.0315  0.6283  1 Te 1.89, 1 Ta 2.06
O  0.7798  0.8550  0.0650  2 Ta 1.88-2.05
O  0.7217  0.4335  0.9764  1 Te 1.90, 1 Ta 2.06
O  0.2202  0.3550  0.0650  2 Ta 1.88-2.05
O  0.2142  0.1978  0.2500  2 Ta 1.88-2.05
O  0.2900  0.7927  0.1681  2 Ta 1.94-1.95
O  0.7100  0.2073  0.8319  2 Ta 1.94-1.95
O  0.7074  0.1048  0.3274  1 Te 1.91, 1 Ta 2.03
O  0.2926  0.8952  0.6726  1 Te 1.91, 1 Ta 2.03
O  0.2202  0.1450  0.9350  2 Ta 1.88-2.05
O  0.7858  0.8022  0.7500  2 Ta 1.88-2.05
Ta  0.2587  0.8501  0.0695  6 O 1.88-2.06
Ta  0.7413  0.3501  0.0695  6 O 1.88-2.06
Ta  0.2587  0.8501  0.4305  6 O 1.88-2.06
Ta  0.7413  0.3501  0.4305  6 O 1.88-2.06
Ta  0.7351  0.2949  0.7500  6 O 1.88-2.05
Ta  0.2587  0.6499  0.5695  6 O 1.88-2.06
Ta  0.2649  0.7051  0.2500  6 O 1.88-2.05
Ta  0.7413  0.1499  0.5695  6 O 1.88-2.06
Ta  0.2649  0.7949  0.7500  6 O 1.88-2.05
Ta  0.7351  0.2051  0.2500  6 O 1.88-2.05
Ta  0.2587  0.6499  0.9305  6 O 1.88-2.06
Ta  0.7413  0.1499  0.9305  6 O 1.88-2.06
Te  0.3678  0.0867  0.4042  3 O 1.89-1.91
Te  0.6322  0.5867  0.4042  3 O 1.89-1.91
Te  0.3678  0.4133  0.5958  3 O 1.89-1.91
Te  0.3678  0.4133  0.9042  3 O 1.89-1.91
Te  0.6322  0.9133  0.9042  3 O 1.89-1.91
Te  0.6322  0.5867  0.0958  3 O 1.89-1.91
Te  0.6322  0.9133  0.5958  3 O 1.89-1.91
Te  0.3678  0.0867  0.0958  3 O 1.89-1.91
Rb  0.7844  0.5740  0.7500  10 O 2.95-3.17
Rb  0.7844  0.9260  0.2500  10 O 2.95-3.17
Rb  0.2156  0.0740  0.7500  10 O 2.95-3.17
Rb  0.2156  0.4260  0.2500  10 O 2.95-3.17

Computed properties:
* magnetization: 0.00 μB/cell
* space-group type: No. 57
* ΔE_f (raw): -2.222 eV per atom

=====

# 6
The following is a DFT calculation (PBEsol) of a relaxed Ca2Zn2Hg crystal.

Cell: 4.1777 7.4228 7.4228 Å, 90.00 90.00 90.00°
Closest atoms and distances in Å follow each position.
Element x y z (fractional)
Zn  0.0000  0.1185  0.3815  1 Zn 2.49
Zn  0.0000  0.3815  0.8815  1 Zn 2.49
Zn  0.0000  0.8815  0.6185  1 Zn 2.49
Zn  0.0000  0.6185  0.1185  1 Zn 2.49
Ca  0.5000  0.8196  0.3196  6 Zn 2.97-3.08
Ca  0.5000  0.6804  0.8196  6 Zn 2.97-3.08
Ca  0.5000  0.3196  0.1804  6 Zn 2.97-3.08
Ca  0.5000  0.1804  0.6804  6 Zn 2.97-3.08
Hg  0.0000  0.5000  0.5000  4 Zn 2.97
Hg  0.0000  0.0000  0.0000  4 Zn 2.97

Computed properties:
* ΔE_f: -308 meV per atom
* magnetization: 0.00 μB/cell
* space-group type: No. 127